# 1
Computed, not measured: a relaxed TaNi2Sb crystal at the PBE level of DFT.

POSCAR file:
```
TaNi2Sb
1.0
-0.7093 -0.2788 -3.3659
3.0627 -0.7127 -0.5863
1.9040 -6.2488 0.1164
Sb Ta Ni
1 1 2
direct
0.5000 0.2500 0.2500
0.5000 0.7500 0.7500
0.0000 0.0288 0.9713
0.0000 0.4712 0.5287
```

Crystal system: orthorhombic
SG: Pmmm (47)

---

# 2
Computed, not measured: a relaxed TaNi15Sb4 crystal at the PBE level of DFT.

POSCAR file:
```
TaNi15Sb4
1.0
-1.3340 -3.2110 1.3235
2.1529 -1.8771 -2.3841
13.6445 -0.4455 12.6721
Ni Sb Ta
15 4 1
direct
0.0000 0.5000 0.7012
0.5000 0.0000 0.2988
0.0000 0.5000 0.5000
0.5000 0.5000 0.0000
0.5000 0.5000 0.8028
0.5000 0.5000 0.3995
0.0000 0.5000 0.2988
0.0000 0.5000 0.0954
0.0000 0.5000 0.9046
0.5000 0.5000 0.6005
0.5000 0.0000 0.0954
0.5000 0.5000 0.1972
0.5000 0.0000 0.7012
0.5000 0.0000 0.9046
0.5000 0.0000 0.5000
0.0000 0.0000 0.8006
0.0000 0.0000 0.6006
0.0000 0.0000 0.3994
0.0000 0.0000 0.1994
0.0000 0.0000 0.0000
```

Crystal system: tetragonal
SG: P4/mmm (123)

---

# 3
Computed, not measured: a relaxed TaNi2Sb crystal at the PBE level of DFT.

POSCAR file:
```
TaNi2Sb
1.0
4.0412 0.0000 0.0000
0.0000 4.0412 0.0000
2.0206 2.0206 8.4353
Sb Ta Ni
2 2 4
direct
0.2500 0.7500 0.5000
0.5000 0.5000 0.0000
0.7500 0.2500 0.5000
0.0000 0.0000 0.0000
0.1095 0.6250 0.2500
0.3750 0.3595 0.7500
0.8750 0.8905 0.7500
0.6405 0.1250 0.2500
```

Crystal system: tetragonal
SG: I-42d (122)

---

# 4
Computed, not measured: a relaxed TaNi2Sb crystal at the PBE level of DFT.

POSCAR file:
```
TaNi2Sb
1.0
7.7104 -0.0778 -0.0462
7.0603 3.0999 -0.0462
7.0603 1.4445 2.7431
Ta Ni Sb
1 2 1
direct
0.7500 0.7500 0.7500
0.4924 0.4924 0.4924
0.0076 0.0076 0.0076
0.2500 0.2500 0.2500
```

Crystal system: trigonal
SG: R-3m (166)

---

# 5
Computed, not measured: a relaxed Ta2NiSb crystal at the PBE level of DFT.

POSCAR file:
```
Ta2NiSb
1.0
3.0600 -0.0040 0.0000
-0.6825 2.9830 0.0000
0.0000 0.0000 7.7549
Sb Ta Ni
1 2 1
direct
0.5000 0.5000 0.7242
0.0000 0.0000 0.0080
0.5000 0.5000 0.2765
0.0000 0.0000 0.4913
```

Crystal system: orthorhombic
SG: Cmm2 (35)

---

# 6
Computed, not measured: a relaxed Ta2NiSb crystal at the PBE level of DFT.

POSCAR file:
```
Ta2NiSb
1.0
-0.0183 2.0685 -4.7234
-1.9093 -0.8543 -4.7132
-3.7222 2.4042 -1.1468
Ta Sb Ni
2 1 1
direct
0.9995 0.9995 0.0005
0.7695 0.7695 0.7296
0.2259 0.2259 0.2733
0.5052 0.5052 0.4966
```

Crystal system: monoclinic
SG: Cm (8)

---

Number 1: density of states at the Fermi level 0.75 states/eV per atom, total DFT energy (no corrections) -6.97 eV/atom. Number 2: density of states at the Fermi level 0.81 states/eV per atom, total DFT energy (no corrections) -5.93 eV/atom. Number 3: density of states at the Fermi level 0.42 states/eV per atom, total DFT energy (no corrections) -6.56 eV/atom. Number 4: density of states at the Fermi level 0.75 states/eV per atom, total DFT energy (no corrections) -6.73 eV/atom. Number 5: density of states at the Fermi level 0.98 states/eV per atom, total DFT energy (no corrections) -8.32 eV/atom. Number 6: density of states at the Fermi level 0.79 states/eV per atom, total DFT energy (no corrections) -8.39 eV/atom.